Entry 1:
VASP calculation (PBE) on a geometry-optimized LiScCl structure.

Cell lengths 6.219, 6.219, 6.219 Å; angles 90.00, 90.00, 90.00 degrees
Fractional positions:
Li 0.000 0.000 0.000
Li 0.000 0.500 0.500
Li 0.500 0.000 0.500
Li 0.500 0.500 0.000
Sc 0.000 0.000 0.500
Sc 0.000 0.500 0.000
Sc 0.500 0.000 0.000
Sc 0.500 0.500 0.500
Cl 0.250 0.250 0.750
Cl 0.250 0.750 0.250
Cl 0.750 0.250 0.250
Cl 0.750 0.750 0.750

ΔE_f (raw): -0.33 eV per atom
V: 60.1 Å³/f.u.
D(E_F): 1.0972 states/eV per atom
Total magnetization: 1.10 μB per formula unit
E above lowest polymorph: 497.7 meV per atom

---

Entry 2:
VASP calculation (PBE) on a geometry-optimized FeSiC2 structure.

Cell lengths 3.066, 3.066, 5.064 Å; angles 90.00, 90.00, 120.00 degrees
Fractional positions:
Fe 0.000 0.000 0.000
Si 0.333 0.667 0.504
C 0.000 0.000 0.613
C 0.333 0.667 0.120

ΔE_f (raw): 0.38 eV per atom
V: 41.2 Å³/f.u.
D(E_F): 0.4753 states/eV per atom
Total magnetization: 0.00 μB per formula unit

---

Entry 3:
VASP calculation (PBE) on a geometry-optimized TcPtC2 structure.

Cell lengths 4.643, 4.643, 9.456 Å; angles 90.00, 90.00, 90.00 degrees
Fractional positions:
Tc 0.000 0.000 0.000
Tc 0.000 0.500 0.250
Tc 0.500 0.000 0.750
Tc 0.500 0.500 0.500
Pt 0.000 0.000 0.500
Pt 0.000 0.500 0.750
Pt 0.500 0.000 0.250
Pt 0.500 0.500 0.000
C 0.232 0.250 0.125
C 0.250 0.732 0.375
C 0.250 0.768 0.875
C 0.268 0.250 0.625
C 0.732 0.750 0.625
C 0.750 0.232 0.875
C 0.750 0.268 0.375
C 0.768 0.750 0.125

V: 51.0 Å³/f.u.
Formation energy from the elements: 629 meV/atom
D(E_F): 0.6260 states/eV per atom
Total magnetization: 0.00 μB per formula unit
E above lowest polymorph: 0.0 meV per atom

---

Entry 4:
VASP calculation (PBE) on a geometry-optimized CaPmAg4 structure.

Cell lengths 5.352, 9.502, 5.347 Å; angles 90.00, 90.00, 90.00 degrees
Fractional positions:
Ca 0.000 0.000 0.000
Ca 0.500 0.500 0.000
Pm 0.000 0.500 0.500
Pm 0.500 0.000 0.500
Ag 0.000 0.172 0.500
Ag 0.000 0.325 0.000
Ag 0.000 0.675 0.000
Ag 0.000 0.828 0.500
Ag 0.500 0.175 0.000
Ag 0.500 0.328 0.500
Ag 0.500 0.672 0.500
Ag 0.500 0.825 0.000

V: 136.0 Å³/f.u.
Formation energy from the elements: -259 meV/atom
D(E_F): 0.3803 states/eV per atom
Total magnetization: 0.00 μB per formula unit
E above lowest polymorph: 11.1 meV per atom